No. 1
Compound: Nb2Si2Tc
Source: Alexandria via LeMat-Bulk
Functional: PBE
Structure: optimized geometry

Results
**Formation energy (no corrections)**: -0.571 eV per atom
**M_tot**: 0.0 Bohr magnetons per cell
**SG**: P4/mbm (127)
**DOS(E_F)**: 3.60 states/eV/f.u.
**Raw total energy**: -8.842 eV/atom
**Crystal system**: tetragonal

Unit cell a=6.5206 b=6.5206 c=3.5830 alpha=90.00 beta=90.00 gamma=90.00
Fractional coordinates of all 10 atoms:
Nb: 0.1687 0.6687 0.5000
Nb: 0.6687 0.8313 0.5000
Nb: 0.8313 0.3313 0.5000
Nb: 0.3313 0.1687 0.5000
Si: 0.3681 0.8681 0.0000
Si: 0.8681 0.6319 0.0000
Si: 0.6319 0.1319 0.0000
Si: 0.1319 0.3681 0.0000
Tc: 0.0000 0.0000 0.0000
Tc: 0.5000 0.5000 0.0000

---

No. 2
Compound: Y2ThMg9
Source: Alexandria via LeMat-Bulk
Functional: PBE
Structure: optimized geometry

Results
**M_tot**: 0.0 Bohr magnetons per cell
**SG**: R-3m (166)
**DOS(E_F)**: 12.35 states/eV/f.u.
**Energy of formation from the pure elements**: -0.2 eV per formula unit
**Raw total energy**: -2.907 eV/atom
**Crystal system**: trigonal

Unit cell a=6.0380 b=6.0380 c=10.3005 alpha=72.96 beta=72.96 gamma=60.00
Fractional coordinates of all 12 atoms:
Y: 0.8579 0.8579 0.4262
Y: 0.1421 0.1421 0.5738
Th: 0.0000 0.0000 0.0000
Mg: 0.6659 0.6659 0.0022
Mg: 0.3341 0.3341 0.9978
Mg: 0.5000 0.5000 0.5000
Mg: 0.4134 0.4134 0.2520
Mg: 0.9212 0.4134 0.2520
Mg: 0.4134 0.9212 0.2520
Mg: 0.5866 0.5866 0.7480
Mg: 0.5866 0.0788 0.7480
Mg: 0.0788 0.5866 0.7480

---

No. 3
Compound: Li8Te2O
Source: Alexandria via LeMat-Bulk
Functional: PBE
Structure: optimized geometry

Results
**Formation energy (no corrections)**: -0.855 eV per atom
**M_tot**: 0.0 Bohr magnetons per cell
**SG**: C2/m (12)
**DOS(E_F)**: 3.26 states/eV/f.u.
**Raw total energy**: -3.269 eV/atom
**Crystal system**: monoclinic

Unit cell a=4.3396 b=5.4401 c=8.7837 alpha=108.50 beta=104.30 gamma=90.00
Fractional coordinates of all 11 atoms:
Li: 0.4120 0.6709 0.8240
Li: 0.5897 0.8596 0.1793
Li: 0.7745 0.7685 0.5489
Li: 0.9997 0.2356 0.9993
Li: 0.2255 0.2315 0.4511
Li: 0.4103 0.1404 0.8207
Li: 0.5880 0.3291 0.1760
Li: 0.0004 0.7644 0.0007
Te: 0.8459 0.3429 0.6917
Te: 0.1541 0.6571 0.3083
O: 0.5000 0.0000 0.0000